Entry from the Alexandria database: crystalline Nd2Hg8Au at its relaxed geometry (GGA-PBE).

The calculation puts the total magnetization at 0.0 μB/cell. The value obtained for the calculated formation energy is -288 meV per atom. The calculation puts the total energy at -0.123 Ry/atom.

abc: 4.802 4.802 12.344
angles: 90.00 90.00 90.00
Fractional positions:
Nd  0.000  0.000  0.195
Nd  0.000  0.000  0.805
Hg  0.000  0.500  0.000
Hg  0.000  0.500  0.366
Hg  0.000  0.500  0.634
Hg  0.500  0.000  0.000
Hg  0.500  0.000  0.366
Hg  0.500  0.000  0.634
Hg  0.500  0.500  0.176
Hg  0.500  0.500  0.824
Au  0.000  0.000  0.500